1.
YGa2Co2Si: relaxed, PBE-GGA.

a = 4.240 Å, b = 4.240 Å, c = 5.517 Å
α = 90.00°, β = 90.00°, γ = 90.00°
Positions (direct):
Si 0.000 0.000 0.000
Y 0.000 0.000 0.500
Ga 0.500 0.500 0.738
Ga 0.500 0.500 0.262
Co 0.500 0.000 0.000
Co 0.000 0.500 0.000

Output
Formation energy without anion corrections, eV per formula unit: -2.1
Crystal system: tetragonal
Total DFT energy (no corrections), eV/atom: -5.70
Theoretical density, g cm⁻³: 6.27

---

2.
ZnGa2Co5Si2: relaxed, PBE-GGA.

a = 3.268 Å, b = 8.663 Å, c = 8.663 Å
α = 90.00°, β = 90.00°, γ = 90.00°
Positions (direct):
Ga 0.000 0.171 0.329
Ga 0.000 0.671 0.171
Ga 0.000 0.329 0.829
Ga 0.000 0.829 0.671
Co 0.500 0.000 0.500
Co 0.500 0.799 0.917
Co 0.500 0.417 0.299
Co 0.500 0.299 0.583
Co 0.500 0.500 0.000
Co 0.500 0.083 0.799
Co 0.500 0.583 0.701
Co 0.500 0.701 0.417
Co 0.500 0.201 0.083
Co 0.500 0.917 0.201
Zn 0.000 0.500 0.500
Zn 0.000 0.000 0.000
Si 0.000 0.129 0.629
Si 0.000 0.871 0.371
Si 0.000 0.629 0.871
Si 0.000 0.371 0.129

Output
Formation energy without anion corrections, eV per formula unit: -1.2
Crystal system: tetragonal
Total DFT energy (no corrections), eV/atom: -5.49
Theoretical density, g cm⁻³: 7.52

---

3.
Sm3GaCo2: relaxed, PBE-GGA.

a = 7.787 Å, b = 8.580 Å, c = 8.583 Å
α = 90.00°, β = 104.32°, γ = 90.00°
Positions (direct):
Co 0.211 0.250 0.189
Co 0.751 0.000 0.250
Co 0.289 0.750 0.311
Co 0.711 0.250 0.689
Co 0.249 0.000 0.750
Co 0.251 0.500 0.750
Co 0.749 0.500 0.250
Co 0.789 0.750 0.811
Ga 0.901 0.251 0.190
Ga 0.401 0.249 0.690
Ga 0.599 0.751 0.310
Ga 0.099 0.749 0.810
Sm 0.329 0.537 0.084
Sm 0.829 0.963 0.584
Sm 0.088 0.251 0.839
Sm 0.171 0.037 0.416
Sm 0.412 0.751 0.661
Sm 0.912 0.749 0.161
Sm 0.671 0.463 0.916
Sm 0.173 0.463 0.417
Sm 0.673 0.037 0.917
Sm 0.827 0.537 0.583
Sm 0.327 0.963 0.083
Sm 0.588 0.249 0.339

Output
Energy of formation, kcal/mol of atoms: -3.59
Crystal system: monoclinic
Total DFT energy (no corrections), eV/atom: -5.39
Theoretical density, g cm⁻³: 7.63

---

4.
Sm6Ga2Co: relaxed, PBE-GGA.

a = 7.107 Å, b = 7.107 Å, c = 11.353 Å
α = 90.00°, β = 90.00°, γ = 90.00°
Positions (direct):
Co 0.500 0.500 0.500
Co 0.000 0.000 0.000
Sm 0.800 0.200 0.831
Sm 0.246 0.754 0.500
Sm 0.254 0.254 0.000
Sm 0.800 0.200 0.169
Sm 0.700 0.700 0.669
Sm 0.754 0.246 0.500
Sm 0.700 0.700 0.331
Sm 0.300 0.300 0.331
Sm 0.746 0.746 0.000
Sm 0.300 0.300 0.669
Sm 0.200 0.800 0.169
Sm 0.200 0.800 0.831
Ga 0.000 0.000 0.372
Ga 0.500 0.500 0.128
Ga 0.500 0.500 0.872
Ga 0.000 0.000 0.628

Output
Energy of formation, kcal/mol of atoms: -1.49
Crystal system: tetragonal
Total DFT energy (no corrections), eV/atom: -4.67
Theoretical density, g cm⁻³: 6.37

---

The lowest total DFT energy (no corrections) belongs to which entry?
YGa2Co2Si